Compound: Zn2SnPd9
Source: Alexandria
Functional: PBE-GGA
Structure: relaxed

a b c (Å): 3.9738 3.9738 11.7712
angles (deg): 90.00 90.00 90.00
Fractional coordinates of all 12 atoms:
1 Pd 0.5000 0.0000 0.8261
2 Pd 0.0000 0.5000 0.8261
3 Pd 0.5000 0.5000 0.6633
4 Pd 0.0000 0.5000 0.5000
5 Pd 0.5000 0.5000 0.0000
6 Pd 0.5000 0.0000 0.1739
7 Pd 0.5000 0.5000 0.3367
8 Pd 0.5000 0.0000 0.5000
9 Pd 0.0000 0.5000 0.1739
10 Zn 0.0000 0.0000 0.6618
11 Zn 0.0000 0.0000 0.3382
12 Sn 0.0000 0.0000 0.0000

Properties
The value obtained for the energy of formation from the pure elements is -0.3577 eV per atom. As for the size of the total moment: 0.00 μB/cell. The symmetry is P4/mmm (123).